The following is a DFT calculation (GGA-PBE) of a relaxed CdIr2Os crystal.

Unit cell a=5.604 b=5.604 c=5.604 alpha=151.47 beta=129.34 gamma=59.17
Atoms (fractional coordinates):
Cd 0.000 0.000 0.000
Ir 0.270 0.770 0.500
Ir 0.730 0.230 0.500
Os 0.500 0.500 0.000

Summary:
As for the space-group type: Immm, No. 71. Its size of the total moment is 0.00 μB per cell. As for the energy of formation from the pure elements: 47.2 kJ per mole of atoms. For the electronic total energy, the calculation gives -6.977 eV per atom.